1.
MgTa3O after structural relaxation, computed with PBE.

Computed properties:
As for the total magnetization: 0.00 μB per cell. The final energy is -8.822 eV/atom. The space-group type is Pm-3m. The uncorrected formation energy is -2.00 eV per formula unit.

Geometry as POSCAR:
```
MgTa3O
1.0
4.294 0.000 0.000
0.000 4.294 0.000
0.000 0.000 4.294
Mg Ta O
1 3 1
Direct
0.000 0.000 0.000
0.000 0.500 0.500
0.500 0.000 0.500
0.500 0.500 0.000
0.500 0.500 0.500
```



2.
AcZn12Pd6 after structural relaxation, computed with PBE.

Computed properties:
As for the total magnetization: 0.00 μB per cell. The final energy is -3.015 eV/atom. The space-group type is R-3m. The value obtained for the energy of formation is -0.354 eV per atom.

Geometry as POSCAR:
```
AcZn12Pd6
1.0
5.664 3.270 2.977
-5.664 3.270 2.977
0.000 -6.540 2.977
Ac Zn Pd
1 12 6
Direct
0.000 0.000 0.000
0.112 0.500 0.888
0.112 0.888 0.500
0.125 0.402 0.402
0.402 0.125 0.402
0.402 0.402 0.125
0.500 0.112 0.888
0.500 0.888 0.112
0.598 0.598 0.875
0.598 0.875 0.598
0.875 0.598 0.598
0.888 0.112 0.500
0.888 0.500 0.112
0.276 0.276 0.697
0.276 0.697 0.276
0.303 0.724 0.724
0.697 0.276 0.276
0.724 0.303 0.724
0.724 0.724 0.303
```



3.
NaTa4Se8 after structural relaxation, computed with PBE.

Computed properties:
As for the total magnetization: 0.00 μB per cell. The final energy is -6.728 eV/atom. The space-group type is C2/m. The uncorrected formation energy is -10.86 eV per formula unit.

Geometry as POSCAR:
```
NaTa4Se8
1.0
6.071 -3.507 0.000
6.071 3.507 0.000
-5.993 0.000 7.760
Na Ta Se
1 4 8
Direct
0.000 0.000 0.000
0.253 0.253 0.501
0.257 0.743 0.500
0.743 0.257 0.500
0.747 0.747 0.499
0.021 0.021 0.709
0.024 0.520 0.714
0.476 0.476 0.282
0.480 0.976 0.286
0.520 0.024 0.714
0.524 0.524 0.718
0.976 0.480 0.286
0.979 0.979 0.291
```



4.
ZrSc3Be after structural relaxation, computed with PBE.

Computed properties:
As for the total magnetization: 0.94 μB per cell. The final energy is -5.889 eV/atom. The space-group type is Pm-3m. The value obtained for the energy of formation is 0.365 eV per atom.

Geometry as POSCAR:
```
ZrSc3Be
1.0
4.846 0.000 0.000
0.000 4.846 0.000
0.000 0.000 4.846
Zr Sc Be
1 3 1
Direct
0.000 0.000 0.000
0.000 0.500 0.500
0.500 0.000 0.500
0.500 0.500 0.000
0.500 0.500 0.500
```